Ba3Hf2VO9 | GGA+U | optimized geometry

## Properties
Energy: -0.3024 Ha/atom
Density: 7.55 Mg/m³

Cell: 5.857 5.857 7.141 Å, 90.00 90.00 120.00°
Atoms (fractional coordinates):
Ba  0.000  0.000  0.000
Ba  0.333  0.667  0.664
Ba  0.667  0.333  0.336
Hf  0.333  0.667  0.172
Hf  0.667  0.333  0.828
V  0.000  0.000  0.500
O  0.000  0.500  0.000
O  0.163  0.325  0.341
O  0.163  0.837  0.341
O  0.325  0.163  0.659
O  0.500  0.000  0.000
O  0.500  0.500  0.000
O  0.675  0.837  0.341
O  0.837  0.163  0.659
O  0.837  0.675  0.659